No. 1
## La2TbErSb4 (GGA-PBE)

Data for an optimized crystal structure of La2TbErSb4.

a b c (Å): 4.5097 7.7823 7.8068
angles (deg): 70.46 90.00 90.00
Last column: nearest neighbours and their distance in Å.
Sites, in units of the cell vectors:
La: 0.5000 0.0000 0.5000  6 Sb 3.25
Sb: 0.5000 0.2634 0.7470  1 Er 3.12, 2 Tb 3.13, 3 La 3.24-3.25
Sb: 0.0000 0.2645 0.2437  2 Er 3.12, 1 Tb 3.13, 3 La 3.24-3.25
Er: 0.5000 0.5000 0.0000  6 Sb 3.12
Sb: 0.0000 0.7355 0.7563  2 Er 3.12, 1 Tb 3.13, 3 La 3.24-3.25
Sb: 0.5000 0.7366 0.2530  1 Er 3.12, 2 Tb 3.13, 3 La 3.24-3.25
La: 0.0000 0.0000 0.0000  6 Sb 3.24
Tb: 0.0000 0.5000 0.5000  6 Sb 3.13

Values from the calculation:
The space group is P2/m (10). The spin magnetization comes out at 0.000 μB/atom. The energy relative to the elements, uncorrected comes out at -1.19 eV per atom.

***

No. 2
## AcHo3Bi3 (GGA-PBE)

Data for an optimized crystal structure of AcHo3Bi3.

a b c (Å): 9.4685 9.4685 8.3209
angles (deg): 55.32 55.32 60.00
Last column: nearest neighbours and their distance in Å.
Sites, in units of the cell vectors:
Ho: 0.1747 0.9180 0.2459  5 Bi 3.14-3.48
Bi: 0.9145 0.2883 0.2602  5 Ho 3.14-3.48, 2 Ac 3.39-3.40
Ho: 0.0820 0.3385 0.7541  5 Bi 3.14-3.48
Ho: 0.3385 0.8253 0.7541  5 Bi 3.14-3.48
Ac: 0.3341 0.3341 0.9978  6 Bi 3.39-3.40
Ho: 0.8253 0.0820 0.7541  5 Bi 3.14-3.48
Ac: 0.6659 0.6659 0.0022  6 Bi 3.39-3.40
Ho: 0.9180 0.6615 0.2459  5 Bi 3.14-3.48
Bi: 0.7117 0.4629 0.7398  5 Ho 3.14-3.48, 2 Ac 3.39-3.40
Ho: 0.6615 0.1747 0.2459  5 Bi 3.14-3.48
Bi: 0.4629 0.0855 0.7398  5 Ho 3.14-3.48, 2 Ac 3.39-3.40
Bi: 0.0855 0.7117 0.7398  5 Ho 3.14-3.48, 2 Ac 3.39-3.40
Bi: 0.2883 0.5371 0.2602  5 Ho 3.14-3.48, 2 Ac 3.39-3.40
Bi: 0.5371 0.9145 0.2602  5 Ho 3.14-3.48, 2 Ac 3.39-3.40

Values from the calculation:
The formation energy is -0.59 eV per atom. The space group is R-3 (148). The spin magnetization comes out at 0.000 μB/atom.

***

No. 3
## TbAs2Ir (GGA-PBE)

Data for an optimized crystal structure of TbAs2Ir.

a b c (Å): 4.0320 4.0320 6.0200
angles (deg): 70.43 70.43 60.00
Last column: nearest neighbours and their distance in Å.
Sites, in units of the cell vectors:
Tb: 0.5000 0.5000 0.5000  6 As 2.88
As: 0.7314 0.7314 0.8057  3 Ir 2.57
Ir: 0.0000 0.0000 0.0000  6 As 2.57
As: 0.2686 0.2686 0.1943  3 Ir 2.57

Values from the calculation:
The formation energy is -0.80 eV per atom. The space group is R-3m (166). The spin magnetization comes out at 0.000 μB/atom.

***

No. 4
## KCdIn (GGA-PBE)

Data for an optimized crystal structure of KCdIn.

a b c (Å): 5.2208 6.6857 6.6841
angles (deg): 99.21 113.22 66.79
Last column: nearest neighbours and their distance in Å.
Sites, in units of the cell vectors:
Cd: 0.7079 0.4905 0.2211  2 In 3.05-3.07, 2 Cd 3.07
K: 0.3843 0.5415 0.6239  6 Cd 3.60-3.93, 6 In 3.63-3.95
In: 0.0590 0.1341 0.5648  2 In 3.01, 2 Cd 3.05-3.07
In: 0.5591 0.9606 0.3916  2 In 3.01, 2 Cd 3.05-3.07
K: 0.8844 0.9015 0.9841  6 Cd 3.60-3.93, 6 In 3.63-3.95
Cd: 0.2079 0.3041 0.0349  2 In 3.05-3.07, 2 Cd 3.07

Values from the calculation:
The energy above the most stable polymorph in this dataset is 0 meV/atom. The formation energy is -0.12 eV per atom. The space group is Cc (9). The spin magnetization comes out at 0.000 μB/atom.

***

No. 5
## Nd6DyY2Er3 (GGA-PBE)

Data for an optimized crystal structure of Nd6DyY2Er3.

a b c (Å): 6.2692 6.2692 11.8325
angles (deg): 95.05 95.05 119.99
Last column: nearest neighbours and their distance in Å.
Sites, in units of the cell vectors:
Nd: 0.0840 0.4165 0.2516  3 Er 3.57, 1 Dy 3.60, 2 Y 3.60, 6 Nd 3.61-3.62
Nd: 0.7514 0.7514 0.2516  3 Er 3.57, 1 Dy 3.60, 2 Y 3.60, 6 Nd 3.61-3.62
Y: 0.3334 0.6666 0.0000  6 Nd 3.60, 3 Y 3.62, 3 Dy 3.62
Nd: 0.4165 0.0840 0.2516  3 Er 3.57, 1 Dy 3.60, 2 Y 3.60, 6 Nd 3.61-3.62
Er: 0.1667 0.8333 0.5000  6 Nd 3.57, 6 Er 3.62
Dy: 0.0000 0.0000 0.0000  6 Nd 3.60, 6 Y 3.62
Er: 0.8333 0.1667 0.5000  6 Nd 3.57, 6 Er 3.62
Nd: 0.9160 0.5835 0.7484  3 Er 3.57, 1 Dy 3.60, 2 Y 3.60, 6 Nd 3.61-3.62
Er: 0.5000 0.5000 0.5000  6 Nd 3.57, 6 Er 3.62
Nd: 0.5835 0.9160 0.7484  3 Er 3.57, 1 Dy 3.60, 2 Y 3.60, 6 Nd 3.61-3.62
Y: 0.6666 0.3334 0.0000  6 Nd 3.60, 3 Y 3.62, 3 Dy 3.62
Nd: 0.2486 0.2486 0.7484  3 Er 3.57, 1 Dy 3.60, 2 Y 3.60, 6 Nd 3.61-3.62

Values from the calculation:
The formation energy is 0.01 eV per atom. The space group is C2/m (12). The spin magnetization comes out at 0.000 μB/atom.

***

No. 6
## LiZnSnPd2 (GGA-PBE)

Data for an optimized crystal structure of LiZnSnPd2.

a b c (Å): 4.6984 4.2973 4.6984
angles (deg): 90.00 90.00 90.00
Last column: nearest neighbours and their distance in Å.
Sites, in units of the cell vectors:
Pd: 0.0000 0.0000 0.5000  2 Zn 2.35
Sn: 0.5000 0.5000 0.5000  8 Pd 3.18, 4 Li 3.32
Zn: 0.0000 0.0000 0.0000  2 Li 2.15, 4 Pd 2.35
Pd: 0.5000 0.0000 0.0000  2 Zn 2.35
Li: 0.0000 0.5000 0.0000  2 Zn 2.15

Values from the calculation:
The formation energy is 0.00 eV per atom. The space group is P4/mmm (123). The spin magnetization comes out at 0.000 μB/atom.

***

No. 7
## BaAlCu3 (GGA-PBE)

Data for an optimized crystal structure of BaAlCu3.

a b c (Å): 5.7064 5.7064 5.7064
angles (deg): 90.00 90.00 90.00
Last column: nearest neighbours and their distance in Å.
Sites, in units of the cell vectors:
Cu: 0.0000 0.0000 0.5000  2 Ba 2.85
Cu: 0.5000 0.0000 0.0000  2 Ba 2.85
Ba: 0.0000 0.0000 0.0000  6 Cu 2.85
Cu: 0.0000 0.5000 0.0000  2 Ba 2.85
Al: 0.5000 0.5000 0.5000  12 Cu 4.04

Values from the calculation:
The energy above the most stable polymorph in this dataset is 1478 meV/atom. The formation energy is 1.42 eV per atom. The space group is Pm-3m (221). The spin magnetization comes out at 0.000 μB/atom.

***

No. 8
## CaPm2Pr6Sm3 (GGA-PBE)

Data for an optimized crystal structure of CaPm2Pr6Sm3.

a b c (Å): 6.4109 6.4109 12.1713
angles (deg): 95.01 95.01 120.03
Last column: nearest neighbours and their distance in Å.
Sites, in units of the cell vectors:
Pm: 0.3329 0.6671 0.0000  6 Pr 3.69-3.71, 3 Pm 3.70-3.71, 3 Ca 3.70
Sm: 0.1663 0.8337 0.5000  6 Pr 3.63-3.67, 6 Sm 3.69-3.71
Pr: 0.9146 0.5755 0.7472  3 Sm 3.63-3.67, 6 Pr 3.67-3.77, 2 Pm 3.69-3.70, 1 Ca 3.73
Pr: 0.7463 0.7463 0.2536  3 Sm 3.63-3.65, 6 Pr 3.67-3.77, 2 Pm 3.71, 1 Ca 3.73
Pr: 0.5755 0.9146 0.7472  3 Sm 3.63-3.67, 6 Pr 3.67-3.77, 2 Pm 3.69-3.70, 1 Ca 3.73
Sm: 0.5000 0.5000 0.5000  6 Pr 3.63-3.66, 6 Sm 3.70-3.71
Ca: 0.0000 0.0000 0.0000  6 Pm 3.70, 6 Pr 3.73
Pr: 0.2537 0.2537 0.7464  3 Sm 3.63-3.65, 6 Pr 3.67-3.77, 2 Pm 3.71, 1 Ca 3.73
Pr: 0.4245 0.0854 0.2528  3 Sm 3.63-3.67, 6 Pr 3.67-3.77, 2 Pm 3.69-3.70, 1 Ca 3.73
Pr: 0.0854 0.4245 0.2528  3 Sm 3.63-3.67, 6 Pr 3.67-3.77, 2 Pm 3.69-3.70, 1 Ca 3.73
Sm: 0.8337 0.1663 0.5000  6 Pr 3.63-3.67, 6 Sm 3.69-3.71
Pm: 0.6671 0.3329 0.0000  6 Pr 3.69-3.71, 3 Pm 3.70-3.71, 3 Ca 3.70

Values from the calculation:
The formation energy is 0.02 eV per atom. The space group is C2/m (12). The spin magnetization comes out at 0.000 μB/atom.